In6MoO12 | PBE+U | relaxed

Its crystal system is trigonal. The total moment is 0.00 μB/atom. As for the raw total energy: -337.28 eV per cell.

Cell and atoms, written as CIF:
```
data_In6MoO12
_cell_length_a 9.6518
_cell_length_b 9.6518
_cell_length_c 9.0808
_cell_angle_alpha 90.00
_cell_angle_beta 90.00
_cell_angle_gamma 120.00
_space_group_name_H-M_alt 'R -3'
_space_group_IT_number 148
_space_group_name_Hall '-R 3'
loop_
_atom_site_label
_atom_site_fract_x
_atom_site_fract_y
_atom_site_fract_z
_atom_site_occupancy
In1 0.0327 0.7839 0.1439 1
Mo1 0.0000 0.0000 0.5000 1
O1 0.0152 0.8390 0.3811 1
O2 0.0190 0.8002 0.8948 1
```